## LaY6Er5 (PBE)

Data for a geometry-optimized LaY6Er5 structure.

Results
* SG: C2/m (12)
* uncorrected energy: -5.5164 eV per atom

Lattice parameters (Å, degrees): 6.160 6.168 12.338 99.55 109.41 60.04
Element x y z (fractional)
Y  0.169  0.665  0.253
Y  0.165  0.665  0.747
Y  0.496  0.000  0.747
Y  0.504  0.000  0.253
Y  0.835  0.335  0.253
Y  0.831  0.335  0.747
Er  0.333  0.334  0.500
Er  0.667  0.666  0.000
Er  0.000  0.000  0.500
Er  0.333  0.334  0.000
Er  0.667  0.666  0.500
La  0.000  0.000  0.000